Tb3Sm | GGA-PBE | optimized geometry

The formation energy comes out at 0.015 eV/atom. The calculation puts the energy above the most stable polymorph in this dataset at 0.002 eV per atom. The total DFT energy (no corrections) is -4.637 eV per atom.

It has space group P6_3/mmc (No. 194), with a = 7.2651 Å, b = 7.2651 Å, c = 5.7284 Å, α = 90.00°, β = 90.00° and γ = 120.00°. The inequivalent atoms are Tb at (0.1665, 0.3330, 0.2500) and Sm at (0.3333, 0.6667, 0.7500).